First-principles (GGA-PBE) data for crystalline MgTl4In3 at its relaxed geometry, as listed in the Alexandria database.

Output
For the formation energy, the calculation gives 0.011 eV per atom. The calculated density comes out at 8.8 g/cm3. The space group is C2/m.

Unit cell a=11.1852 b=11.1852 c=5.8280 alpha=91.15 beta=91.15 gamma=17.89
Atoms (fractional coordinates):
1 Mg 0.0000 0.0000 0.0000
2 Tl 0.2515 0.2515 0.7486
3 Tl 0.3812 0.3812 0.1468
4 Tl 0.6188 0.6188 0.8532
5 Tl 0.7485 0.7485 0.2514
6 In 0.1197 0.1197 0.3519
7 In 0.5000 0.5000 0.5000
8 In 0.8803 0.8803 0.6481